# 1
This record from Alexandria via LeMat-Bulk describes a relaxed La2YTm crystal. The functional is PBE-GGA.

Cell: 3.729 3.729 9.811 Å, 90.00 90.00 90.00°
Positions (direct):
Y1 0.500 0.500 0.500
Tm1 0.500 0.500 0.000
La1 0.000 0.000 0.246
La2 0.000 0.000 0.754

## Properties
symmetry = P4/mmm (123)
distance to the lowest polymorph of the same formula = 0.012 eV per atom
final energy = -5.17 eV per atom
total moment = 0.000 μB per atom

***

# 2
This record from Alexandria via LeMat-Bulk describes a relaxed LaY2Tm crystal. The functional is PBE-GGA.

Cell: 5.737 5.737 5.737 Å, 60.00 60.00 60.00°
Positions (direct):
Y1 0.750 0.750 0.750
Y2 0.250 0.250 0.250
La1 0.500 0.500 0.500
Tm1 0.000 0.000 0.000

## Properties
symmetry = Fm-3m (225)
distance to the lowest polymorph of the same formula = 0.099 eV per atom
final energy = -5.46 eV per atom
total moment = 0.000 μB per atom

***

# 3
This record from Alexandria via LeMat-Bulk describes a relaxed LaY4Tm15 crystal. The functional is PBE-GGA.

Cell: 4.976 4.976 24.889 Å, 90.00 90.00 90.00°
Positions (direct):
Tm1 0.500 0.000 0.102
Tm2 0.500 0.000 0.500
Tm3 0.000 0.500 0.102
Tm4 0.500 0.500 0.000
Tm5 0.500 0.500 0.400
Tm6 0.000 0.500 0.898
Tm7 0.500 0.000 0.898
Tm8 0.500 0.500 0.600
Tm9 0.500 0.500 0.202
Tm10 0.500 0.000 0.699
Tm11 0.000 0.500 0.699
Tm12 0.500 0.000 0.301
Tm13 0.500 0.500 0.798
Tm14 0.000 0.500 0.500
Tm15 0.000 0.500 0.301
Y1 0.000 0.000 0.799
Y2 0.000 0.000 0.599
Y3 0.000 0.000 0.401
Y4 0.000 0.000 0.201
La1 0.000 0.000 0.000

## Properties
symmetry = P4/mmm (123)
final energy = -4.86 eV per atom
total moment = 0.000 μB per atom

***

# 4
This record from Alexandria via LeMat-Bulk describes a relaxed La2Y3Tm9 crystal. The functional is PBE-GGA.

Cell: 6.166 10.459 13.336 Å, 40.62 55.72 56.86°
Positions (direct):
Tm1 0.406 0.988 0.696
Tm2 0.196 0.514 0.103
Tm3 0.594 0.012 0.304
Tm4 0.006 0.843 0.494
Tm5 0.000 0.500 0.500
Tm6 0.994 0.157 0.506
Tm7 0.804 0.486 0.897
Tm8 0.252 0.172 0.086
Tm9 0.748 0.828 0.914
Y1 0.000 0.000 0.000
Y2 0.364 0.655 0.726
Y3 0.636 0.345 0.274
La1 0.434 0.320 0.706
La2 0.566 0.680 0.294

## Properties
symmetry = P-1 (2)
final energy = -4.84 eV per atom
total moment = 0.000 μB per atom

***

# 5
This record from Alexandria via LeMat-Bulk describes a relaxed La4Y3Tm4 crystal. The functional is PBE-GGA.

Cell: 3.610 5.658 18.428 Å, 81.17 84.50 90.00°
Positions (direct):
La1 0.677 0.177 0.645
La2 0.322 0.822 0.355
La3 0.447 0.447 0.105
La4 0.553 0.553 0.895
Tm1 0.736 0.735 0.530
Tm2 0.264 0.265 0.470
Tm3 0.092 0.093 0.814
Tm4 0.908 0.907 0.186
Y1 0.148 0.647 0.707
Y2 0.000 0.000 0.000
Y3 0.852 0.353 0.293

## Properties
symmetry = C2/m (12)
final energy = -5.13 eV per atom
total moment = 0.000 μB per atom

***

# 6
This record from Alexandria via LeMat-Bulk describes a relaxed La5Y2Tm5 crystal. The functional is PBE-GGA.

Cell: 5.086 10.822 8.108 Å, 98.68 71.72 76.41°
Positions (direct):
La1 0.669 0.250 0.412
La2 0.002 0.750 0.246
La3 0.331 0.750 0.588
La4 0.998 0.250 0.754
La5 0.000 0.000 0.000
Tm1 0.667 0.000 0.665
Tm2 0.000 0.500 0.500
Tm3 0.668 0.747 0.916
Tm4 0.333 0.000 0.335
Tm5 0.332 0.253 0.084
Y1 0.332 0.502 0.834
Y2 0.668 0.498 0.166

## Properties
symmetry = C2/m (12)
final energy = -4.96 eV per atom
total moment = 0.000 μB per atom

***

# 7
This record from Alexandria via LeMat-Bulk describes a relaxed La4Y8Tm3 crystal. The functional is PBE-GGA.

Cell: 6.810 9.375 9.375 Å, 86.92 111.41 111.41°
Positions (direct):
Y1 0.000 0.362 0.638
Y2 0.007 0.274 0.274
Y3 0.478 0.732 0.732
Y4 0.000 0.638 0.362
Y5 0.500 0.255 0.745
Y6 0.500 0.745 0.255
Y7 0.993 0.726 0.726
Y8 0.522 0.268 0.268
Tm1 0.500 0.500 0.000
Tm2 0.500 0.500 0.500
Tm3 0.500 0.000 0.500
La1 0.000 0.000 0.000
La2 0.000 0.500 0.000
La3 0.000 0.000 0.500
La4 0.500 0.000 0.000

## Properties
symmetry = C2/m (12)
distance to the lowest polymorph of the same formula = 0.239 eV per atom
final energy = -5.30 eV per atom
total moment = 0.050 μB per atom

***

# 8
This record from Alexandria via LeMat-Bulk describes a relaxed LaY6Tm8 crystal. The functional is PBE-GGA.

Cell: 8.990 8.990 8.590 Å, 58.45 58.45 60.00°
Positions (direct):
Y1 0.769 0.463 0.874
Y2 0.107 0.231 0.126
Y3 0.231 0.537 0.126
Y4 0.893 0.769 0.874
Y5 0.537 0.107 0.126
Y6 0.463 0.893 0.874
Tm1 0.889 0.255 0.574
Tm2 0.745 0.718 0.426
Tm3 0.282 0.889 0.574
Tm4 0.424 0.424 0.729
Tm5 0.111 0.745 0.426
Tm6 0.255 0.282 0.574
Tm7 0.718 0.111 0.426
Tm8 0.576 0.576 0.271
La1 0.000 0.000 0.000

## Properties
symmetry = R-3 (148)
distance to the lowest polymorph of the same formula = 0.000 eV per atom
final energy = -5.16 eV per atom
total moment = 0.000 μB per atom

***

# 9
This record from Alexandria via LeMat-Bulk describes a relaxed La2YTm4 crystal. The functional is PBE-GGA.

Cell: 8.525 9.562 10.166 Å, 144.48 98.86 91.81°
Positions (direct):
Tm1 0.249 0.484 0.147
Tm2 0.775 0.130 0.273
Tm3 0.460 0.155 0.758
Tm4 0.840 0.229 0.023
Tm5 0.928 0.618 0.063
Tm6 0.343 0.880 0.191
Tm7 0.987 0.743 0.834
Tm8 0.399 0.981 0.939
Y1 0.062 0.852 0.592
Y2 0.189 0.361 0.376
La1 0.719 0.951 0.464
La2 0.571 0.502 0.743
La3 0.121 0.253 0.625
La4 0.608 0.609 0.472

## Properties
symmetry = P1 (1)
distance to the lowest polymorph of the same formula = 0.025 eV per atom
final energy = -4.81 eV per atom
total moment = 0.000 μB per atom

***

# 10
This record from Alexandria via LeMat-Bulk describes a relaxed La4Y5Tm crystal. The functional is PBE-GGA.

Cell: 5.751 10.880 10.881 Å, 90.00 90.00 90.00°
Positions (direct):
La1 0.621 0.000 0.705
La2 0.621 0.295 0.000
La3 0.621 0.000 0.295
La4 0.621 0.705 0.000
La5 0.379 0.500 0.795
La6 0.379 0.205 0.500
La7 0.379 0.795 0.500
La8 0.379 0.500 0.205
Y1 0.149 0.159 0.159
Y2 0.149 0.841 0.841
Y3 0.851 0.341 0.341
Y4 0.000 0.500 0.000
Y5 0.851 0.659 0.341
Y6 0.851 0.659 0.659
Y7 0.851 0.341 0.659
Y8 0.149 0.159 0.841
Y9 0.149 0.841 0.159
Y10 0.000 0.000 0.500
Tm1 0.386 0.500 0.500
Tm2 0.614 0.000 0.000

## Properties
symmetry = P4/nmm (129)
distance to the lowest polymorph of the same formula = 0.000 eV per atom
final energy = -5.47 eV per atom
total moment = 0.000 μB per atom

***

# 11
This record from Alexandria via LeMat-Bulk describes a relaxed La4YTm3 crystal. The functional is PBE-GGA.

Cell: 5.139 10.216 10.282 Å, 90.00 90.00 90.00°
Positions (direct):
Y1 0.064 0.385 0.000
Y2 0.564 0.615 0.500
La1 0.564 0.129 0.500
La2 0.064 0.127 0.749
La3 0.564 0.873 0.751
La4 0.564 0.873 0.249
La5 0.064 0.873 0.500
La6 0.064 0.127 0.251
La7 0.064 0.871 0.000
La8 0.564 0.127 0.000
Tm1 0.564 0.385 0.250
Tm2 0.564 0.616 0.000
Tm3 0.064 0.384 0.500
Tm4 0.564 0.385 0.750
Tm5 0.064 0.615 0.250
Tm6 0.064 0.615 0.750

## Properties
symmetry = Pmmn (59)
distance to the lowest polymorph of the same formula = 0.022 eV per atom
final energy = -4.91 eV per atom
total moment = 0.000 μB per atom

***

# 12
This record from Alexandria via LeMat-Bulk describes a relaxed La3YTm4 crystal. The functional is PBE-GGA.

Cell: 6.296 7.332 11.506 Å, 90.00 90.00 90.00°
Positions (direct):
La1 0.484 0.374 0.248
La2 0.984 0.626 0.748
La3 0.649 0.631 0.000
La4 0.984 0.626 0.252
La5 0.484 0.374 0.752
La6 0.149 0.369 0.500
Y1 0.642 0.634 0.500
Y2 0.142 0.366 0.000
Tm1 0.646 0.121 0.500
Tm2 0.981 0.118 0.752
Tm3 0.481 0.882 0.748
Tm4 0.146 0.879 0.000
Tm5 0.148 0.882 0.500
Tm6 0.648 0.118 0.000
Tm7 0.981 0.118 0.248
Tm8 0.481 0.882 0.252

## Properties
symmetry = Pmn2_1 (31)
distance to the lowest polymorph of the same formula = 0.000 eV per atom
final energy = -4.86 eV per atom
total moment = 0.000 μB per atom

***

# 13
This record from Alexandria via LeMat-Bulk describes a relaxed LaYTm3 crystal. The functional is PBE-GGA.

Cell: 6.287 9.588 8.459 Å, 119.06 111.88 109.11°
Positions (direct):
Y1 0.042 0.157 0.758
Y2 0.958 0.843 0.242
Tm1 0.363 0.646 0.247
Tm2 0.231 0.548 0.749
Tm3 0.828 0.744 0.745
Tm4 0.172 0.256 0.255
Tm5 0.637 0.354 0.753
Tm6 0.769 0.452 0.251
La1 0.432 0.948 0.749
La2 0.568 0.052 0.251

## Properties
symmetry = P-1 (2)
distance to the lowest polymorph of the same formula = 0.000 eV per atom
final energy = -4.95 eV per atom
total moment = 0.000 μB per atom

***

# 14
This record from Alexandria via LeMat-Bulk describes a relaxed La7YTm2 crystal. The functional is PBE-GGA.

Cell: 3.540 10.497 10.497 Å, 108.87 90.00 90.00°
Positions (direct):
La1 0.500 0.875 0.615
La2 0.000 0.680 0.320
La3 0.000 0.320 0.680
La4 0.500 0.500 0.500
La5 0.500 0.125 0.385
La6 0.500 0.385 0.125
La7 0.500 0.615 0.875
Tm1 0.500 0.836 0.164
Tm2 0.500 0.164 0.836
Y1 0.000 0.000 0.000

## Properties
symmetry = Cmmm (65)
final energy = -4.66 eV per atom
total moment = 0.000 μB per atom

***

# 15
This record from Alexandria via LeMat-Bulk describes a relaxed La11Y9Tm4 crystal. The functional is PBE-GGA.

Cell: 3.702 15.617 15.617 Å, 113.01 90.00 90.00°
Positions (direct):
Y1 0.500 0.500 0.500
Y2 0.500 0.631 0.166
Y3 0.500 0.070 0.215
Y4 0.500 0.930 0.785
Y5 0.500 0.369 0.834
Y6 0.500 0.166 0.631
Y7 0.500 0.785 0.930
Y8 0.500 0.834 0.369
Y9 0.500 0.215 0.070
La1 0.000 0.000 0.000
La2 0.000 0.406 0.044
La3 0.000 0.631 0.369
La4 0.000 0.160 0.840
La5 0.000 0.294 0.294
La6 0.000 0.956 0.594
La7 0.000 0.594 0.956
La8 0.000 0.840 0.160
La9 0.000 0.706 0.706
La10 0.000 0.044 0.406
La11 0.000 0.369 0.631
Tm1 0.500 0.759 0.555
Tm2 0.500 0.555 0.759
Tm3 0.500 0.445 0.241
Tm4 0.500 0.241 0.445

## Properties
symmetry = Cmmm (65)
final energy = -5.37 eV per atom
total moment = 0.000 μB per atom

***

# 16
This record from Alexandria via LeMat-Bulk describes a relaxed LaY5Tm4 crystal. The functional is PBE-GGA.

Cell: 6.334 7.868 7.868 Å, 80.68 66.26 66.26°
Positions (direct):
Tm1 0.401 0.405 0.701
Tm2 0.806 0.701 0.595
Tm3 0.506 0.595 0.299
Tm4 0.101 0.299 0.405
Y1 0.712 0.092 0.381
Y2 0.677 0.000 0.000
Y3 0.804 0.381 0.908
Y4 0.093 0.619 0.092
Y5 0.185 0.908 0.619
La1 0.224 0.000 0.000

## Properties
symmetry = I4 (79)
final energy = -5.20 eV per atom
total moment = 0.000 μB per atom

***

# 17
This record from Alexandria via LeMat-Bulk describes a relaxed LaY2Tm crystal. The functional is PBE-GGA.

Cell: 3.665 6.780 12.408 Å, 94.77 116.30 74.33°
Positions (direct):
Y1 0.598 0.080 0.038
Y2 0.576 0.568 0.519
Y3 0.915 0.025 0.564
Y4 0.937 0.537 0.083
La1 0.931 0.781 0.827
La2 0.582 0.323 0.775
Tm1 0.592 0.826 0.283
Tm2 0.921 0.279 0.320

## Properties
symmetry = C2/m (12)
distance to the lowest polymorph of the same formula = 0.000 eV per atom
final energy = -5.56 eV per atom
total moment = 0.000 μB per atom

***

# 18
This record from Alexandria via LeMat-Bulk describes a relaxed La11Y4Tm9 crystal. The functional is PBE-GGA.

Cell: 3.692 15.527 15.527 Å, 113.16 90.00 90.00°
Positions (direct):
La1 0.000 0.040 0.402
La2 0.000 0.598 0.960
La3 0.000 0.709 0.709
La4 0.000 0.368 0.632
La5 0.000 0.960 0.598
La6 0.000 0.160 0.840
La7 0.000 0.402 0.040
La8 0.000 0.291 0.291
La9 0.000 0.000 0.000
La10 0.000 0.840 0.160
La11 0.000 0.632 0.368
Tm1 0.500 0.167 0.631
Tm2 0.500 0.500 0.500
Tm3 0.500 0.369 0.833
Tm4 0.500 0.833 0.369
Tm5 0.500 0.213 0.068
Tm6 0.500 0.932 0.787
Tm7 0.500 0.787 0.932
Tm8 0.500 0.631 0.167
Tm9 0.500 0.068 0.213
Y1 0.500 0.556 0.759
Y2 0.500 0.444 0.241
Y3 0.500 0.759 0.556
Y4 0.500 0.241 0.444

## Properties
symmetry = Cmmm (65)
final energy = -4.93 eV per atom
total moment = 0.000 μB per atom

***

# 19
This record from Alexandria via LeMat-Bulk describes a relaxed La5Y2Tm crystal. The functional is PBE-GGA.

Cell: 5.700 6.712 16.516 Å, 90.00 90.00 115.12°
Positions (direct):
Y1 0.225 0.451 0.636
Y2 0.775 0.549 0.136
Y3 0.225 0.451 0.864
Y4 0.775 0.549 0.364
La1 0.921 0.842 0.907
La2 0.388 0.777 0.447
La3 0.529 0.057 0.250
La4 0.471 0.943 0.750
La5 0.612 0.223 0.947
La6 0.079 0.158 0.407
La7 0.388 0.777 0.053
La8 0.612 0.223 0.553
La9 0.079 0.158 0.093
La10 0.921 0.842 0.593
Tm1 0.249 0.499 0.250
Tm2 0.751 0.501 0.750

## Properties
symmetry = Cmcm (63)
distance to the lowest polymorph of the same formula = 0.000 eV per atom
final energy = -5.14 eV per atom
total moment = 0.000 μB per atom

***

| no. | DFT formation energy (eV/atom) | mass density (Mg/m³) | DOS(E_F) (states/eV/f.u.) |
| --- | --- | --- | --- |
| 1 | 0.025 | 6.520 | 6.36 |
| 2 | 0.118 | 6.041 | 7.15 |
| 3 | 0.032 | 8.160 | 28.90 |
| 4 | 0.128 | 7.599 | 21.74 |
| 5 | 0.048 | 6.719 | 17.79 |
| 6 | 0.034 | 7.137 | 18.90 |
| 7 | 0.354 | 5.701 | 30.33 |
| 8 | 0.136 | 7.015 | 24.01 |
| 9 | 0.075 | 7.566 | 11.37 |
| 10 | 0.181 | 5.704 | 11.40 |
| 11 | 0.035 | 7.083 | 13.32 |
| 12 | 0.032 | 7.386 | 14.62 |
| 13 | 0.013 | 7.570 | 8.35 |
| 14 | 0.332 | 6.295 | 17.90 |
| 15 | 0.062 | 6.003 | 35.65 |
| 16 | 0.312 | 6.363 | 15.25 |
| 17 | 0.019 | 6.066 | 7.24 |
| 18 | 0.078 | 6.908 | 34.34 |
| 19 | 0.115 | 6.045 | 11.39 |